No. 1
The following is a DFT calculation (GGA-PBEsol) of a geometry-optimized Ni4RhW structure.

The mass density comes out at 12.55 Mg/m³. The total DFT energy (no corrections) comes out at -7.867 eV per atom.

a b c (Å): 4.604 4.604 4.604
angles (deg): 60.00 60.00 60.00
Element x y z (fractional)
Ni 0.375 0.375 0.375
Ni 0.375 0.375 0.875
Ni 0.875 0.375 0.375
Ni 0.375 0.875 0.375
Rh 0.750 0.750 0.750
W 0.000 0.000 0.000

No. 2
The following is a DFT calculation (GGA-PBEsol) of a geometry-optimized NiRhW2 structure.

The calculation puts the distance to the lowest polymorph of the same formula at 0.220 eV/atom. The mass density comes out at 15.56 Mg/m³. The total DFT energy (no corrections) comes out at -10.330 eV per atom.

a b c (Å): 2.721 2.721 8.950
angles (deg): 81.26 81.26 60.00
Element x y z (fractional)
Ni 0.500 0.500 0.499
Rh 0.248 0.248 0.257
W 0.996 0.996 0.013
W 0.756 0.756 0.731

No. 3
The following is a DFT calculation (GGA-PBEsol) of a geometry-optimized NiRhW2 structure.

The calculation puts the distance to the lowest polymorph of the same formula at 0.029 eV/atom. The mass density comes out at 15.93 Mg/m³. The total DFT energy (no corrections) comes out at -10.521 eV per atom.

a b c (Å): 2.689 4.683 4.683
angles (deg): 110.73 90.00 90.00
Element x y z (fractional)
Ni 0.500 0.000 0.000
Rh 0.500 0.500 0.500
W 0.000 0.500 0.000
W 0.000 0.000 0.500

No. 4
The following is a DFT calculation (GGA-PBEsol) of a geometry-optimized NiRhW2 structure.

The calculation puts the distance to the lowest polymorph of the same formula at 0.018 eV/atom. The mass density comes out at 15.97 Mg/m³. The total DFT energy (no corrections) comes out at -10.532 eV per atom.

a b c (Å): 3.777 3.777 3.858
angles (deg): 90.00 90.00 90.00
Element x y z (fractional)
Ni 0.500 0.500 0.500
Rh 0.000 0.000 0.500
W 0.000 0.500 0.000
W 0.500 0.000 0.000

No. 5
The following is a DFT calculation (GGA-PBEsol) of a geometry-optimized NiRhW2 structure.

The calculation puts the distance to the lowest polymorph of the same formula at 0.191 eV/atom. The mass density comes out at 15.70 Mg/m³. The total DFT energy (no corrections) comes out at -10.359 eV per atom.

a b c (Å): 2.714 2.714 8.919
angles (deg): 81.25 81.25 60.00
Element x y z (fractional)
Ni 0.500 0.500 0.500
Rh 0.000 0.000 0.000
W 0.248 0.248 0.257
W 0.752 0.752 0.743

No. 6
The following is a DFT calculation (GGA-PBEsol) of a geometry-optimized NiRhW2 structure.

The calculation puts the distance to the lowest polymorph of the same formula at 0.000 eV/atom. The mass density comes out at 15.98 Mg/m³. The total DFT energy (no corrections) comes out at -10.550 eV per atom.

a b c (Å): 2.695 4.322 4.723
angles (deg): 90.00 90.00 90.00
Element x y z (fractional)
Ni 0.500 0.000 0.548
Rh 0.500 0.500 0.214
W 0.000 0.000 0.043
W 0.000 0.500 0.696

No. 7
The following is a DFT calculation (GGA-PBEsol) of a geometry-optimized NiRh2W structure.

The calculation puts the distance to the lowest polymorph of the same formula at 0.062 eV/atom. The mass density comes out at 14.08 Mg/m³. The total DFT energy (no corrections) comes out at -9.204 eV per atom.

a b c (Å): 3.724 3.724 4.633
angles (deg): 113.70 113.70 90.00
Element x y z (fractional)
Ni 0.250 0.750 0.500
Rh 0.500 0.500 0.000
Rh 0.750 0.250 0.500
W 0.000 0.000 0.000

No. 8
The following is a DFT calculation (GGA-PBEsol) of a geometry-optimized NiRh2W structure.

The calculation puts the distance to the lowest polymorph of the same formula at 0.053 eV/atom. The mass density comes out at 14.09 Mg/m³. The total DFT energy (no corrections) comes out at -9.212 eV per atom.

a b c (Å): 3.673 3.793 3.793
angles (deg): 90.00 90.00 90.00
Element x y z (fractional)
Ni 0.500 0.000 0.000
Rh 0.000 0.000 0.500
Rh 0.000 0.500 0.000
W 0.500 0.500 0.500

Let's list formation energy from the elements in order: -0.1040; 0.1480; -0.0428; -0.0541; 0.1187; -0.0723; -0.1431; -0.1519 eV/atom.